Record 1
Material: Pu2Ni2Ge
Method: DFT, PBE
State: relaxed

Computed properties:
Formation energy from the elements ... -368 meV per atom
Total magnetic moment ... 21.0 μB/cell

Lattice parameters (Å, degrees): 5.2818 5.2818 7.6518 102.11 102.11 61.02
Closest atoms and distances in Å follow each position.
Positions (direct):
Pu 0.0093 0.2872 0.1518  6 Ni 2.83-2.96, 2 Ge 3.10-3.11
Pu 0.2872 0.0093 0.6518  6 Ni 2.83-2.96, 2 Ge 3.10-3.11
Pu 0.7128 0.9907 0.3482  6 Ni 2.83-2.96, 2 Ge 3.10-3.11
Pu 0.9907 0.7128 0.8482  6 Ni 2.83-2.96, 2 Ge 3.10-3.11
Ni 0.2366 0.4959 0.5013  1 Ni 2.48, 2 Ge 2.51-2.52
Ni 0.4959 0.2366 0.0013  1 Ni 2.48, 2 Ge 2.51-2.52
Ni 0.5041 0.7634 0.9987  1 Ni 2.48, 2 Ge 2.51-2.52
Ni 0.7634 0.5041 0.4987  1 Ni 2.48, 2 Ge 2.51-2.52
Ge 0.3448 0.6552 0.2500  4 Ni 2.51-2.52
Ge 0.6552 0.3448 0.7500  4 Ni 2.51-2.52

=====

Record 2
Material: Pr7Y12Cd
Method: DFT, PBE
State: relaxed

Computed properties:
Formation energy from the elements ... 164 meV per atom
Total magnetic moment ... 0.2 μB/cell

Lattice parameters (Å, degrees): 8.8387 8.8387 8.8387 89.75 89.75 89.75
Closest atoms and distances in Å follow each position.
Positions (direct):
Pr 0.0000 0.0000 0.0000  6 Pr 3.55, 6 Y 3.67
Pr 0.1068 0.7168 0.2658  6 Y 3.31-3.68, 3 Pr 3.55-3.64
Pr 0.2658 0.1068 0.7168  6 Y 3.31-3.68, 3 Pr 3.55-3.64
Pr 0.2832 0.7342 0.8932  6 Y 3.31-3.68, 3 Pr 3.55-3.64
Pr 0.7168 0.2658 0.1068  6 Y 3.31-3.68, 3 Pr 3.55-3.64
Pr 0.7342 0.8932 0.2832  6 Y 3.31-3.68, 3 Pr 3.55-3.64
Pr 0.8932 0.2832 0.7342  6 Y 3.31-3.68, 3 Pr 3.55-3.64
Y 0.0417 0.1605 0.3793  5 Y 3.56-3.77, 5 Pr 3.57-3.86
Y 0.1605 0.3793 0.0417  5 Y 3.56-3.77, 5 Pr 3.57-3.86
Y 0.1717 0.4969 0.6038  1 Cd 3.04, 1 Pr 3.31
Y 0.3793 0.0417 0.1605  5 Y 3.56-3.77, 5 Pr 3.57-3.86
Y 0.3962 0.8283 0.5031  1 Cd 3.04, 1 Pr 3.31
Y 0.4969 0.6038 0.1717  1 Cd 3.04, 1 Pr 3.31
Y 0.5031 0.3962 0.8283  1 Cd 3.04, 1 Pr 3.31
Y 0.6038 0.1717 0.4969  1 Cd 3.04, 1 Pr 3.31
Y 0.6207 0.9583 0.8395  5 Y 3.56-3.77, 5 Pr 3.57-3.86
Y 0.8283 0.5031 0.3962  1 Cd 3.04, 1 Pr 3.31
Y 0.8395 0.6207 0.9583  5 Y 3.56-3.77, 5 Pr 3.57-3.86
Y 0.9583 0.8395 0.6207  5 Y 3.56-3.77, 5 Pr 3.57-3.86
Cd 0.5000 0.5000 0.5000  6 Y 3.04

=====

Record 3
Material: TaZnH
Method: DFT, PBE
State: relaxed

Computed properties:
E above lowest polymorph ... 0 meV per atom
Total magnetic moment ... 0.0 μB/cell

Lattice parameters (Å, degrees): 5.4569 5.4569 5.4569 147.61 67.80 122.24
Closest atoms and distances in Å follow each position.
Positions (direct):
Ta 0.2424 0.0000 0.2424  3 H 1.92
Ta 0.7576 0.0000 0.7576  3 H 1.92
Zn 0.1967 0.6967 0.5000  2 H 2.44, 2 Zn 2.67
Zn 0.6129 0.6129 0.0000  4 H 2.39, 2 Zn 2.67
H 0.6640 0.3258 0.3382  3 Ta 1.92
H 0.9875 0.3258 0.6617  3 Ta 1.92